1.
# TaNbH

A relaxed TaNbH crystal (PBE, Alexandria via LeMat-Bulk).

Unit cell a=8.3680 b=4.7733 c=4.7715 alpha=90.00 beta=124.70 gamma=90.00
Space group C2/m (No. 12)
One atom of each set of equivalent atoms:
Ta1 0.1295 0.0000 0.3661 (multiplicity 4)
Nb1 0.1281 0.5000 0.8897 (multiplicity 4)
H1 0.0000 0.2438 0.5000 (multiplicity 4)

Results
- ΔE to the lowest computed polymorph: 17 meV/atom
- Total DFT energy (no corrections): -0.63091 Ry/atom



2.
# CrNiS

A relaxed CrNiS crystal (PBE, Alexandria via LeMat-Bulk).

Unit cell a=3.8837 b=3.8837 c=22.4439 alpha=90.00 beta=90.00 gamma=120.00
Space group R-3m (No. 166, hexagonal axes)
One atom of each set of equivalent atoms:
Cr1 0.0000 0.0000 0.0518 (multiplicity 6)
Ni1 0.0000 0.0000 0.3328 (multiplicity 6)
S1 0.0000 0.0000 0.2377 (multiplicity 6)

Results
- ΔE to the lowest computed polymorph: 0 meV/atom
- Total DFT energy (no corrections): -0.48632 Ry/atom



3.
# SrSn2PdRh

A relaxed SrSn2PdRh crystal (PBE, Alexandria via LeMat-Bulk).

Unit cell a=4.6512 b=4.6512 c=11.0453 alpha=90.00 beta=90.00 gamma=90.00
Space group I-4m2 (No. 119)
One atom of each set of equivalent atoms:
Sr1 0.0000 0.0000 0.0000 (multiplicity 2)
Sn1 0.0000 0.0000 0.3649 (multiplicity 4)
Pd1 0.0000 0.5000 0.7500 (multiplicity 2)
Rh1 0.0000 0.5000 0.2500 (multiplicity 2)

Results
- Total DFT energy (no corrections): -0.37287 Ry/atom
- ΔE_f: -627 meV/atom



4.
# Ag6Se2ClF

A relaxed Ag6Se2ClF crystal (PBE, Alexandria via LeMat-Bulk).

Unit cell a=6.6847 b=6.6847 c=16.8286 alpha=90.00 beta=90.00 gamma=120.00
Space group R3 (No. 146, hexagonal axes)
One atom of each set of equivalent atoms:
Ag1 0.0378 0.5761 0.0000 (multiplicity 9)
Ag2 0.1009 0.3778 0.5384 (multiplicity 9)
Se1 0.0000 0.0000 0.2185 (multiplicity 3)
Se2 0.0000 0.0000 0.7477 (multiplicity 3)
Cl1 0.0000 0.0000 0.0064 (multiplicity 3)
F1 0.0000 0.0000 0.4988 (multiplicity 3)

Results
- Total DFT energy (no corrections): -0.22725 Ry/atom



5.
# Cs6KAu3

A relaxed Cs6KAu3 crystal (PBE, Alexandria via LeMat-Bulk).

Unit cell a=9.6119 b=9.6119 c=25.6033 alpha=90.00 beta=90.00 gamma=120.00
Space group R3 (No. 146, hexagonal axes)
One atom of each set of equivalent atoms:
Cs1 0.0066 0.5410 0.0000 (multiplicity 9)
Cs2 0.0157 0.3451 0.8254 (multiplicity 9)
K1 0.0000 0.0000 0.9799 (multiplicity 3)
Au1 0.0000 0.0000 0.2379 (multiplicity 3)
Au2 0.0000 0.0000 0.4257 (multiplicity 3)
Au3 0.0000 0.0000 0.7588 (multiplicity 3)

Results
- Total DFT energy (no corrections): -0.13093 Ry/atom
- ΔE_f: -176 meV/atom



6.
# TcIr2Ru2

A relaxed TcIr2Ru2 crystal (PBE, Alexandria via LeMat-Bulk).

Unit cell a=11.2163 b=5.4503 c=4.7095 alpha=90.00 beta=97.77 gamma=90.00
Space group P2_1/c (No. 14)
One atom of each set of equivalent atoms:
Tc1 0.1990 0.1215 0.1481 (multiplicity 4)
Ir1 0.1995 0.6207 0.1512 (multiplicity 4)
Ir2 0.3989 0.1260 0.5517 (multiplicity 4)
Ru1 0.0011 0.1289 0.7532 (multiplicity 4)
Ru2 0.3996 0.6234 0.5513 (multiplicity 4)

Results
- ΔE to the lowest computed polymorph: 0 meV/atom
- Total DFT energy (no corrections): -0.68936 Ry/atom
- ΔE_f: -51 meV/atom



7.
# Ac2ReC2

A relaxed Ac2ReC2 crystal (PBE, Alexandria via LeMat-Bulk).

Unit cell a=6.8914 b=5.6614 c=10.9527 alpha=90.00 beta=90.00 gamma=90.00
Space group Pnma (No. 62)
One atom of each set of equivalent atoms:
Ac1 0.0346 0.2500 0.2104 (multiplicity 4)
Ac2 0.1934 0.2500 0.5481 (multiplicity 4)
Re1 0.2316 0.2500 0.8474 (multiplicity 4)
C1 0.0280 0.7500 0.2441 (multiplicity 4)
C2 0.2026 0.7500 0.5179 (multiplicity 4)

Results
- Total DFT energy (no corrections): -0.57986 Ry/atom
- ΔE_f: -67 meV/atom



8.
# Dy6YHoTm2

A relaxed Dy6YHoTm2 crystal (PBE, Alexandria via LeMat-Bulk).

Unit cell a=8.9973 b=14.9908 c=9.4841 alpha=90.00 beta=97.19 gamma=90.00
Space group C2/c (No. 15)
One atom of each set of equivalent atoms:
Dy1 0.0613 0.1862 0.4447 (multiplicity 8)
Dy2 0.1035 0.3935 0.6198 (multiplicity 8)
Dy3 0.2063 0.2254 0.8154 (multiplicity 8)
Y1 0.0000 0.0237 0.7500 (multiplicity 4)
Ho1 0.0000 0.4094 0.2500 (multiplicity 4)
Tm1 0.2488 0.4459 0.9557 (multiplicity 8)

Results
- Total DFT energy (no corrections): -0.34112 Ry/atom
- ΔE_f: 119 meV/atom



9.
# Ag2SbPt2

A relaxed Ag2SbPt2 crystal (PBE, Alexandria via LeMat-Bulk).

Unit cell a=6.8214 b=6.8214 c=4.1363 alpha=90.00 beta=90.00 gamma=90.00
Space group P4/mbm (No. 127)
One atom of each set of equivalent atoms:
Ag1 0.1557 0.3443 0.0000 (multiplicity 4)
Sb1 0.0000 0.0000 0.5000 (multiplicity 2)
Pt1 0.1422 0.6422 0.5000 (multiplicity 4)

Results
- ΔE to the lowest computed polymorph: 0 meV/atom
- Total DFT energy (no corrections): -0.32381 Ry/atom



10.
# CoSiOs2

A relaxed CoSiOs2 crystal (PBE, Alexandria via LeMat-Bulk).

Unit cell a=2.9019 b=2.9019 c=6.0913 alpha=90.00 beta=90.00 gamma=90.00
Space group P4/mmm (No. 123)
One atom of each set of equivalent atoms:
Co1 0.0000 0.0000 0.0000 (multiplicity 1)
Si1 0.0000 0.0000 0.5000 (multiplicity 1)
Os1 0.5000 0.5000 0.2656 (multiplicity 2)

Results
- Total DFT energy (no corrections): -0.64332 Ry/atom



11.
# InAg2P

A relaxed InAg2P crystal (PBE, Alexandria via LeMat-Bulk).

Unit cell a=3.7261 b=3.7261 c=5.5221 alpha=90.00 beta=90.00 gamma=90.00
Space group P4mm (No. 99)
One atom of each set of equivalent atoms:
In1 0.0000 0.0000 0.0000 (multiplicity 1)
Ag1 0.0000 0.0000 0.4937 (multiplicity 1)
Ag2 0.5000 0.5000 0.7183 (multiplicity 1)
P1 0.5000 0.5000 0.2324 (multiplicity 1)

Results
- ΔE to the lowest computed polymorph: 23 meV/atom
- Total DFT energy (no corrections): -0.24124 Ry/atom
- ΔE_f: 180 meV/atom



12.
# Li2CuNi

A relaxed Li2CuNi crystal (PBE, Alexandria via LeMat-Bulk).

Unit cell a=5.7398 b=5.7398 c=5.7398 alpha=90.00 beta=90.00 gamma=90.00
Space group Fm-3m (No. 225)
One atom of each set of equivalent atoms:
Li1 0.2500 0.2500 0.2500 (multiplicity 8)
Cu1 0.0000 0.0000 0.0000 (multiplicity 4)
Ni1 0.0000 0.0000 0.5000 (multiplicity 4)

Results
- ΔE to the lowest computed polymorph: 93 meV/atom
- Total DFT energy (no corrections): -0.24595 Ry/atom
- ΔE_f: 80 meV/atom